# PbW2 PBE relaxed
data_PbW2
_cell_length_a 10.045
_cell_length_b 3.082
_cell_length_c 7.928
_cell_angle_alpha 90.00
_cell_angle_beta 91.90
_cell_angle_gamma 90.00
_space_group_name_H-M_alt 'C 1 m 1'
_space_group_IT_number 8
loop_
_space_group_symop_operation_xyz
'x,y,z'
'x,-y,z'
'x+1/2,y+1/2,z'
'x+1/2,-y+1/2,z'
loop_
_atom_site_label
_atom_site_type_symbol
_atom_site_fract_x
_atom_site_fract_y
_atom_site_fract_z
_atom_site_occupancy
Pb1 Pb 0.000 0.000 0.000 1
Pb2 Pb 0.237 0.500 0.764 1
W1 W 0.015 0.000 0.574 1
W2 W 0.073 0.500 0.332 1
W3 W 0.272 0.000 0.138 1
W4 W 0.298 0.000 0.442 1
# ΔE to the lowest computed polymorph (meV per atom): 266
# Calculated formation energy (kJ per mole of atoms): 81.0
# Calculated total energy (eV per atom): -9.032
# D(E_F) (states/eV/atom): 0.622